This record from the Alexandria database describes CaLaMn2Tl after structural relaxation. The functional is PBE.

spin magnetization: 7.76 μB per formula unit
final energy: -23.12 eV/cell
space group: No. 123
calculated formation energy: 0.903 eV/atom

Lattice parameters (Å, degrees): 5.0961 5.0961 5.6203 90.00 90.00 90.00
Positions (direct):
Ca 0.0000 0.0000 0.0000
La 0.5000 0.5000 0.5000
Mn 0.0000 0.5000 0.0000
Mn 0.5000 0.0000 0.0000
Tl 0.0000 0.0000 0.5000